12
Lattice="3.197 -5.537 0.000 3.197 5.537 0.000 -2.131 0.000 6.231" Properties=species:S:1:pos:R:3 comment="Li3TmZr2S6 | Alexandria | PBE-GGA | optimized geometry" dos_at_fermi_per_ev_cell=4.0 pbc="T T T"
Li 0.000 0.000 0.000
Li 3.197 1.840 0.000
Li 3.197 -1.840 0.000
Tm 2.132 0.000 3.116
Zr 2.132 3.694 3.116
Zr 2.132 -3.694 3.116
S 1.042 1.887 1.553
S -0.046 0.000 4.684
S 1.042 -1.887 1.553
S 3.221 1.887 4.678
S 4.309 0.000 1.547
S 3.221 -1.887 4.678


14
Lattice="3.488 2.014 6.237 -3.488 2.014 6.237 0.000 -4.028 6.237" Properties=species:S:1:pos:R:3 comment="Li7US6 | Alexandria | PBE-GGA | optimized geometry" dos_at_fermi_per_ev_cell=0.1 pbc="T T T"
Li 0.000 0.000 0.000
Li -2.049 0.035 8.314
Li -1.229 -2.224 10.139
Li 0.995 -1.792 8.314
Li -1.311 2.176 10.139
Li 1.055 1.757 8.314
Li 2.540 0.047 10.139
U 0.000 0.000 12.341
S -1.333 -2.191 7.634
S -2.128 -0.054 10.815
S -1.231 2.250 7.634
S 1.111 -1.816 10.815
S 2.564 -0.059 7.634
S 1.017 1.870 10.815


no.,uncorrected formation energy (eV per atom)
1,-1.61
2,-1.33